# 1
! PBE LaZnGa, optimized geometry; values from VASP
&SYSTEM
  ibrav = 0, nat = 3, ntyp = 3
/
ATOMIC_SPECIES
Zn 65.41 Zn.upf
Ga 69.72 Ga.upf
La 138.91 La.upf
CELL_PARAMETERS angstrom
-3.275 2.104 0.245
-1.293 -2.435 3.636
2.477 3.791 0.557
ATOMIC_POSITIONS angstrom
Zn -0.546 0.351 0.041
Ga 0.674 2.067 1.624
La -2.219 1.043 2.773
! VASP energy   -3.599 eV per atom


# 2
! PBE LaZnGa, optimized geometry; values from VASP
&SYSTEM
  ibrav = 0, nat = 6, ntyp = 3
/
ATOMIC_SPECIES
Zn 65.41 Zn.upf
Ga 69.72 Ga.upf
La 138.91 La.upf
CELL_PARAMETERS angstrom
-2.116 4.022 0.718
-1.724 -2.998 -3.033
-4.497 -0.989 7.021
ATOMIC_POSITIONS angstrom
Zn -5.185 1.248 2.562
Zn -6.856 -0.026 4.769
Ga -4.997 0.636 6.546
Ga -4.625 -0.764 0.743
La -3.847 -0.927 3.949
La -3.613 2.446 0.483
! VASP energy   -3.510 eV per atom


# 3
! PBE LaZn3Ga, optimized geometry; values from VASP
&SYSTEM
  ibrav = 0, nat = 5, ntyp = 3
/
ATOMIC_SPECIES
Zn 65.41 Zn.upf
Ga 69.72 Ga.upf
La 138.91 La.upf
CELL_PARAMETERS angstrom
-1.356 -1.280 4.461
1.359 -4.553 -0.893
4.438 1.003 1.637
ATOMIC_POSITIONS angstrom
Zn 0.679 -2.277 -0.447
Zn 2.219 0.502 0.818
Zn -0.678 -0.640 2.231
Ga 0.000 0.000 0.000
La 2.220 -2.415 2.602
! VASP energy   -2.352 eV per atom
! Energy above the most stable polymorph in this dataset   436 meV per atom


# 4
! PBE La4Zn2Ga, optimized geometry; values from VASP
&SYSTEM
  ibrav = 0, nat = 7, ntyp = 3
/
ATOMIC_SPECIES
La 138.91 La.upf
Zn 65.41 Zn.upf
Ga 69.72 Ga.upf
CELL_PARAMETERS angstrom
5.026 0.000 1.570
2.268 4.485 1.570
-0.050 -0.031 8.989
ATOMIC_POSITIONS angstrom
La 6.338 3.898 6.199
La 0.905 0.557 5.931
La 4.512 2.775 3.214
La 2.731 1.680 8.915
Zn 5.411 3.327 9.166
Zn 1.833 1.127 2.963
Ga 0.000 0.000 0.000
! VASP energy   -3.888 eV per atom


# 5
! PBE LaZnGa, optimized geometry; values from VASP
&SYSTEM
  ibrav = 0, nat = 6, ntyp = 3
/
ATOMIC_SPECIES
Zn 65.41 Zn.upf
Ga 69.72 Ga.upf
La 138.91 La.upf
CELL_PARAMETERS angstrom
5.634 -0.015 -0.025
1.789 4.100 -0.009
3.753 0.819 6.304
ATOMIC_POSITIONS angstrom
Zn 6.008 1.724 2.433
Zn 7.693 0.990 4.417
Ga 9.491 2.650 6.141
Ga 3.862 2.657 3.495
La 6.676 3.873 4.809
La 3.048 0.569 1.297
! VASP energy   -3.440 eV per atom


# 6
! PBE La6Zn2Ga, optimized geometry; values from VASP
&SYSTEM
  ibrav = 0, nat = 9, ntyp = 3
/
ATOMIC_SPECIES
La 138.91 La.upf
Zn 65.41 Zn.upf
Ga 69.72 Ga.upf
CELL_PARAMETERS angstrom
-5.180 -0.435 1.572
-0.767 -2.613 6.128
-2.237 7.281 4.024
ATOMIC_POSITIONS angstrom
La -7.081 5.082 6.214
La -2.137 0.509 2.479
La -6.047 3.724 9.245
La -3.563 1.422 7.413
La -4.621 2.812 4.311
La -1.103 -0.849 5.510
Zn -3.975 4.616 6.941
Zn -4.210 -0.383 4.783
Ga -1.502 2.334 5.076
! VASP energy   -4.162 eV per atom
! Energy above the most stable polymorph in this dataset   0 meV per atom


# 7
! PBE La2Zn2Ga, optimized geometry; values from VASP
&SYSTEM
  ibrav = 0, nat = 10, ntyp = 3
/
ATOMIC_SPECIES
Zn 65.41 Zn.upf
Ga 69.72 Ga.upf
La 138.91 La.upf
CELL_PARAMETERS angstrom
7.096 0.000 0.000
0.000 7.096 0.000
0.000 0.000 4.812
ATOMIC_POSITIONS angstrom
Zn 2.636 6.184 0.000
Zn 6.184 4.460 0.000
Zn 4.460 0.912 0.000
Zn 0.912 2.636 0.000
Ga 0.000 0.000 0.000
Ga 3.548 3.548 0.000
La 1.248 4.796 2.406
La 4.796 5.848 2.406
La 5.848 2.300 2.406
La 2.300 1.248 2.406
! VASP energy   -3.466 eV per atom
! Energy above the most stable polymorph in this dataset   50 meV per atom


# 8
! PBE La2Zn3Ga2, optimized geometry; values from VASP
&SYSTEM
  ibrav = 0, nat = 7, ntyp = 3
/
ATOMIC_SPECIES
La 138.91 La.upf
Zn 65.41 Zn.upf
Ga 69.72 Ga.upf
CELL_PARAMETERS angstrom
4.535 0.000 0.000
-2.267 5.146 -1.617
0.000 -0.359 6.682
ATOMIC_POSITIONS angstrom
La 2.267 3.499 0.434
La 0.000 1.288 4.631
Zn 2.267 0.000 0.000
Zn 2.267 0.777 2.483
Zn 0.000 4.010 2.582
Ga 2.267 3.296 3.777
Ga 0.000 1.491 1.289
! VASP energy   -3.282 eV per atom


# 9
! PBE LaZnGa, optimized geometry; values from VASP
&SYSTEM
  ibrav = 0, nat = 6, ntyp = 3
/
ATOMIC_SPECIES
Zn 65.41 Zn.upf
Ga 69.72 Ga.upf
La 138.91 La.upf
CELL_PARAMETERS angstrom
3.949 0.000 0.000
0.000 4.541 0.000
0.000 0.000 7.869
ATOMIC_POSITIONS angstrom
Zn 0.256 2.598 4.074
Zn 0.256 2.598 6.682
Ga 0.255 0.328 0.119
Ga 0.256 0.328 2.768
La 2.230 0.328 5.378
La 2.231 2.598 1.443
! VASP energy   -3.597 eV per atom


# 10
! PBE La2Zn3Ga, optimized geometry; values from VASP
&SYSTEM
  ibrav = 0, nat = 12, ntyp = 3
/
ATOMIC_SPECIES
La 138.91 La.upf
Zn 65.41 Zn.upf
Ga 69.72 Ga.upf
CELL_PARAMETERS angstrom
5.932 0.725 0.000
0.358 5.965 0.000
-3.145 -3.345 7.969
ATOMIC_POSITIONS angstrom
La 2.966 0.363 3.985
La 4.603 1.975 0.000
La 0.179 2.983 3.985
La 1.688 4.716 0.000
Zn 4.691 4.990 1.323
Zn 1.546 1.645 6.647
Zn -1.546 -1.645 6.647
Zn 1.599 1.701 1.323
Zn 0.000 0.000 2.674
Zn 3.145 3.345 5.295
Ga 3.145 3.345 2.620
Ga 0.000 0.000 5.350
! VASP energy   -3.224 eV per atom


# 11
! PBE La5Zn4Ga, optimized geometry; values from VASP
&SYSTEM
  ibrav = 0, nat = 10, ntyp = 3
/
ATOMIC_SPECIES
La 138.91 La.upf
Zn 65.41 Zn.upf
Ga 69.72 Ga.upf
CELL_PARAMETERS angstrom
3.760 0.000 0.000
0.000 3.760 0.000
0.000 0.000 18.850
ATOMIC_POSITIONS angstrom
La 1.880 1.880 1.866
La 1.880 1.880 5.655
La 1.880 1.880 9.425
La 1.880 1.880 13.196
La 1.880 1.880 16.985
Zn 0.000 0.000 3.793
Zn 0.000 0.000 7.543
Zn 0.000 0.000 11.308
Zn 0.000 0.000 15.058
Ga 0.000 0.000 0.000
! VASP energy   -3.638 eV per atom


# 12
! PBE La4Zn4Ga, optimized geometry; values from VASP
&SYSTEM
  ibrav = 0, nat = 18, ntyp = 3
/
ATOMIC_SPECIES
La 138.91 La.upf
Zn 65.41 Zn.upf
Ga 69.72 Ga.upf
CELL_PARAMETERS angstrom
6.485 0.000 0.000
0.000 8.551 0.000
0.000 0.000 8.551
ATOMIC_POSITIONS angstrom
La 0.556 4.440 1.487
La 0.556 8.386 2.789
La 3.798 7.064 0.164
La 3.798 5.762 4.111
La 5.929 4.111 7.064
La 5.929 0.164 5.762
La 2.686 1.487 8.386
La 2.686 2.789 4.440
Zn 0.508 5.526 4.341
Zn 0.508 7.300 8.485
Zn 3.750 4.210 1.251
Zn 3.750 0.066 3.025
Zn 5.977 3.025 4.210
Zn 5.977 1.251 0.066
Zn 2.734 4.341 7.300
Zn 2.734 8.485 5.526
Ga 4.863 2.138 2.138
Ga 1.621 6.413 6.413
! VASP energy   -3.351 eV per atom


# 13
! PBE La2Zn2Ga, optimized geometry; values from VASP
&SYSTEM
  ibrav = 0, nat = 5, ntyp = 3
/
ATOMIC_SPECIES
Zn 65.41 Zn.upf
Ga 69.72 Ga.upf
La 138.91 La.upf
CELL_PARAMETERS angstrom
-6.063 0.024 -1.308
1.139 -2.948 -5.337
-2.858 -4.827 -1.549
ATOMIC_POSITIONS angstrom
Zn -2.586 -2.514 -2.768
Zn -5.196 -5.237 -5.426
Ga 0.000 0.000 0.000
La -5.692 -3.132 -3.089
La -2.090 -4.618 -5.104
! VASP energy   -3.194 eV per atom
! Energy above the most stable polymorph in this dataset   322 meV per atom


# 14
! PBE LaZn3Ga2, optimized geometry; values from VASP
&SYSTEM
  ibrav = 0, nat = 12, ntyp = 3
/
ATOMIC_SPECIES
La 138.91 La.upf
Zn 65.41 Zn.upf
Ga 69.72 Ga.upf
CELL_PARAMETERS angstrom
4.265 0.000 0.000
-2.133 7.870 0.146
0.000 -3.407 6.864
ATOMIC_POSITIONS angstrom
La 2.133 2.382 6.449
La 0.000 2.080 0.561
Zn 0.000 3.067 3.835
Zn 2.133 5.192 4.454
Zn 2.133 -0.749 4.803
Zn 0.000 5.211 2.207
Zn 0.000 -0.729 2.555
Zn 2.133 1.395 3.175
Ga 0.000 4.733 5.795
Ga 2.133 -0.271 1.215
Ga 2.133 3.763 2.155
Ga 0.000 0.699 4.855
! VASP energy   -2.850 eV per atom


# 15
! PBE La5ZnGa4, optimized geometry; values from VASP
&SYSTEM
  ibrav = 0, nat = 10, ntyp = 3
/
ATOMIC_SPECIES
La 138.91 La.upf
Zn 65.41 Zn.upf
Ga 69.72 Ga.upf
CELL_PARAMETERS angstrom
-2.272 -2.929 -0.566
1.490 -0.498 -3.404
13.126 -11.621 7.445
ATOMIC_POSITIONS angstrom
La 0.927 -2.880 -1.238
La 3.545 -5.197 0.247
La 6.172 -7.524 1.738
La 8.800 -9.850 3.228
La 11.418 -12.168 4.713
Zn 0.000 0.000 0.000
Ga 2.594 -2.296 1.471
Ga 5.251 -4.649 2.978
Ga 7.875 -6.972 4.467
Ga 10.533 -9.325 5.974
! VASP energy   -4.318 eV per atom


# 16
! PBE La2Zn3Ga5, optimized geometry; values from VASP
&SYSTEM
  ibrav = 0, nat = 20, ntyp = 3
/
ATOMIC_SPECIES
La 138.91 La.upf
Zn 65.41 Zn.upf
Ga 69.72 Ga.upf
CELL_PARAMETERS angstrom
-2.237 5.320 2.110
-8.671 0.133 -0.580
-2.817 -0.877 8.175
ATOMIC_POSITIONS angstrom
La -6.032 0.638 0.942
La -4.253 2.799 6.331
La -7.693 3.937 8.762
La -9.472 1.777 3.374
Zn -7.279 1.389 6.678
Zn -9.909 4.310 5.472
Zn -6.446 3.187 3.027
Zn -3.816 0.266 4.233
Zn -0.559 1.330 0.527
Zn -1.678 3.990 1.582
Ga -5.854 1.192 8.686
Ga -11.216 4.584 3.394
Ga -7.871 3.384 1.019
Ga -2.508 -0.008 6.310
Ga -9.771 2.078 6.773
Ga -3.954 2.498 2.932
Ga -7.422 3.618 5.380
Ga -6.303 0.958 4.325
Ga -2.835 -0.162 1.877
Ga -10.890 4.738 7.828
! VASP energy   -3.405 eV per atom
! Energy above the most stable polymorph in this dataset   0 meV per atom


# 17
! PBE LaZn2Ga6, optimized geometry; values from VASP
&SYSTEM
  ibrav = 0, nat = 9, ntyp = 3
/
ATOMIC_SPECIES
La 138.91 La.upf
Zn 65.41 Zn.upf
Ga 69.72 Ga.upf
CELL_PARAMETERS angstrom
-2.937 -1.921 -2.302
5.284 -4.085 -3.334
-1.733 -1.096 6.952
ATOMIC_POSITIONS angstrom
La 2.642 -2.042 -1.667
Zn 0.732 -6.234 0.442
Zn -0.118 -0.867 0.875
Ga 1.898 -5.412 -1.732
Ga -1.285 -1.689 3.049
Ga 0.622 -3.163 1.846
Ga -0.544 -1.675 -1.734
Ga 2.891 -4.330 -3.901
Ga -0.008 -3.938 -0.529
! VASP energy   -3.036 eV per atom


# 18
! PBE LaZnGa, optimized geometry; values from VASP
&SYSTEM
  ibrav = 0, nat = 12, ntyp = 3
/
ATOMIC_SPECIES
Zn 65.41 Zn.upf
Ga 69.72 Ga.upf
La 138.91 La.upf
CELL_PARAMETERS angstrom
-0.927 3.339 -5.341
-4.567 1.061 1.456
3.055 7.471 4.141
ATOMIC_POSITIONS angstrom
Zn 0.115 8.877 -1.970
Zn -3.255 4.081 -0.768
Zn -2.553 2.994 2.225
Zn 0.816 7.790 1.023
Ga -0.645 6.071 -2.309
Ga -1.273 9.876 1.227
Ga -1.793 5.800 2.565
Ga -1.166 1.996 -0.972
La -0.140 4.379 0.509
La -0.809 8.332 3.808
La -2.299 7.492 -0.253
La -1.630 3.539 -3.553
! VASP energy   -3.478 eV per atom


# 19
! PBE LaZn6Ga2, optimized geometry; values from VASP
&SYSTEM
  ibrav = 0, nat = 9, ntyp = 3
/
ATOMIC_SPECIES
La 138.91 La.upf
Zn 65.41 Zn.upf
Ga 69.72 Ga.upf
CELL_PARAMETERS angstrom
-0.643 0.506 4.134
-0.212 -4.182 0.479
8.841 -0.287 1.411
ATOMIC_POSITIONS angstrom
La 0.000 0.000 0.000
Zn 2.586 -2.178 0.669
Zn 2.371 0.166 2.497
Zn 6.043 -2.291 1.221
Zn 5.828 0.053 3.048
Zn 3.993 -1.981 3.012
Zn 4.421 -0.144 0.705
Ga 0.818 -1.878 2.505
Ga 7.169 -2.085 3.518
! VASP energy   -2.326 eV per atom


# 20
! PBE La4ZnGa3, optimized geometry; values from VASP
&SYSTEM
  ibrav = 0, nat = 8, ntyp = 3
/
ATOMIC_SPECIES
Zn 65.41 Zn.upf
Ga 69.72 Ga.upf
La 138.91 La.upf
CELL_PARAMETERS angstrom
5.125 0.000 -1.383
-0.367 5.117 -1.360
-0.465 -0.530 8.462
ATOMIC_POSITIONS angstrom
Zn 2.562 0.000 -0.692
Ga -0.184 2.558 -0.680
Ga 3.512 1.007 2.828
Ga 0.780 3.580 2.891
La 1.436 1.522 5.320
La 2.857 3.065 0.399
La 0.478 0.506 1.771
La 3.815 4.081 3.947
! VASP energy   -4.264 eV per atom


One value per record, in order, for E_form: -523, -434, 3, -276, -364, -257, -380, -463, -521, -440, -362, -258, -108, -383, -516, -523, -187, -402, -257, -506 meV per atom.
One value per record, in order, for DOS(E_F): 0.755, 0.817, 1.001, 1.147, 0.953, 1.072, 1.018, 0.730, 0.986, 1.001, 1.224, 1.051, 0.921, 0.259, 0.944, 0.280, 0.340, 0.220, 0.200, 1.107 states/eV/atom.